## AcVGeO5 (GGA+U)

Data for a geometry-optimized AcVGeO5 structure.

It has space group C2/c (No. 15), with a = 6.744 Å, b = 8.844 Å, c = 8.840 Å, α = 90.00°, β = 107.32° and γ = 90.00°. Symmetry generates all atoms from Ac at (0.000, 0.000, 0.000), V at (0.000, 0.346, 0.250), Ge at (0.000, 0.320, 0.750), O at (0.000, 0.140, 0.250), O at (0.115, 0.460, 0.894) and O at (0.178, 0.184, 0.716).

For the total magnetic moment, the calculation gives 2.00 μB/f.u. Its total DFT energy (no corrections) is -7.2962 eV per atom.